Computed, not measured: a relaxed CaCrCo2 crystal at the PBE level of DFT.

Cell lengths 6.3114, 6.3114, 6.3114 Å; angles 90.00, 90.00, 90.00 degrees
Last column: nearest neighbours and their distance in Å.
Element x y z (fractional)
Ca1 0.0000 0.0000 0.0000  4 Cr 2.73, 4 Co 2.73
Ca2 0.0000 0.5000 0.5000  4 Cr 2.73, 4 Co 2.73
Ca3 0.5000 0.0000 0.5000  4 Cr 2.73, 4 Co 2.73
Ca4 0.5000 0.5000 0.0000  4 Cr 2.73, 4 Co 2.73
Cr1 0.2500 0.2500 0.2500  4 Co 2.73, 4 Ca 2.73
Cr2 0.2500 0.7500 0.7500  4 Co 2.73, 4 Ca 2.73
Cr3 0.7500 0.2500 0.7500  4 Co 2.73, 4 Ca 2.73
Cr4 0.7500 0.7500 0.2500  4 Co 2.73, 4 Ca 2.73
Co1 0.0000 0.0000 0.5000  4 Cr 2.73, 4 Co 2.73
Co2 0.0000 0.5000 0.0000  4 Cr 2.73, 4 Co 2.73
Co3 0.2500 0.2500 0.7500  4 Co 2.73, 4 Ca 2.73
Co4 0.2500 0.7500 0.2500  4 Co 2.73, 4 Ca 2.73
Co5 0.5000 0.0000 0.0000  4 Cr 2.73, 4 Co 2.73
Co6 0.5000 0.5000 0.5000  4 Cr 2.73, 4 Co 2.73
Co7 0.7500 0.2500 0.2500  4 Co 2.73, 4 Ca 2.73
Co8 0.7500 0.7500 0.7500  4 Co 2.73, 4 Ca 2.73

Calculated formation energy, eV per atom: 0.7095
Space group: No. 216
E above lowest polymorph, meV/atom: 438.1


Computed, not measured: a relaxed BaBe3Hg crystal at the PBE level of DFT.

Cell lengths 6.1941, 6.1941, 6.1941 Å; angles 90.00, 90.00, 90.00 degrees
Last column: nearest neighbours and their distance in Å.
Element x y z (fractional)
Ba1 0.0000 0.0000 0.0000  6 Be 3.10
Be1 0.0000 0.0000 0.5000  2 Ba 3.10
Be2 0.0000 0.5000 0.0000  2 Ba 3.10
Be3 0.5000 0.0000 0.0000  2 Ba 3.10
Hg1 0.5000 0.5000 0.5000  12 Be 4.38

Calculated formation energy, eV per atom: 1.9567
Space group: No. 221
E above lowest polymorph, meV/atom: 1407.7


Computed, not measured: a relaxed ReHg3Pd crystal at the PBE level of DFT.

Cell lengths 5.2050, 5.2050, 5.2050 Å; angles 90.00, 90.00, 90.00 degrees
Last column: nearest neighbours and their distance in Å.
Element x y z (fractional)
Re1 0.0000 0.0000 0.0000  6 Hg 2.60
Hg1 0.0000 0.0000 0.5000  2 Re 2.60
Hg2 0.0000 0.5000 0.0000  2 Re 2.60
Hg3 0.5000 0.0000 0.0000  2 Re 2.60
Pd1 0.5000 0.5000 0.5000  12 Hg 3.68

Calculated formation energy, eV per atom: 1.2552
Space group: No. 221
E above lowest polymorph, meV/atom: 0.0


Computed, not measured: a relaxed RbNiHg2Sb crystal at the PBE level of DFT.

Cell lengths 5.2638, 5.2638, 5.0366 Å; angles 90.00, 90.00, 90.00 degrees
Last column: nearest neighbours and their distance in Å.
Element x y z (fractional)
Rb1 0.0000 0.0000 0.0000  8 Hg 3.64, 4 Sb 3.72
Ni1 0.5000 0.5000 0.5000  2 Sb 2.52, 4 Hg 2.63
Hg1 0.0000 0.5000 0.5000  2 Ni 2.63
Hg2 0.5000 0.0000 0.5000  2 Ni 2.63
Sb1 0.5000 0.5000 0.0000  2 Ni 2.52

Uncorrected formation energy, eV/atom: -0.0903
Space group: No. 123